Entry 1:
Below is a relaxed CePrPt crystal, with properties calculated at the PBE level.

Final energy   -6.3094 eV per atom
Formation enthalpy at 0 K   -725 meV per atom
Total magnetization   0.962 μB/cell
Offset from the most stable computed form   4 meV per atom

abc: 4.645 4.063 8.404
angles: 90.00 90.11 90.00
Positions (direct):
Ce (0.204, 0.250, 0.033)
Ce (0.796, 0.750, 0.967)
Pr (0.255, 0.750, 0.636)
Pr (0.745, 0.250, 0.364)
Pt (0.260, 0.750, 0.280)
Pt (0.740, 0.250, 0.720)


Entry 2:
Below is a relaxed Rb4FeCl6 crystal, with properties calculated at the PBE level.

Final energy   -3.7185 eV per atom
Total magnetization   8.000 μB/cell
Uncorrected formation energy   -1.5901 eV/atom

abc: 8.887 8.887 15.560
angles: 110.11 110.11 54.24
Positions (direct):
Rb (0.058, 0.479, 0.826)
Rb (0.144, 0.856, 0.500)
Rb (0.270, 0.596, 0.177)
Rb (0.479, 0.058, 0.326)
Rb (0.493, 0.798, 0.969)
Rb (0.596, 0.270, 0.677)
Rb (0.798, 0.493, 0.469)
Rb (0.856, 0.144, 0.000)
Fe (0.473, 0.947, 0.728)
Fe (0.947, 0.473, 0.228)
Cl (0.092, 0.494, 0.384)
Cl (0.187, 0.254, 0.143)
Cl (0.202, 0.721, 0.992)
Cl (0.254, 0.187, 0.643)
Cl (0.369, 0.753, 0.709)
Cl (0.390, 0.803, 0.375)
Cl (0.494, 0.092, 0.884)
Cl (0.721, 0.202, 0.492)
Cl (0.753, 0.369, 0.209)
Cl (0.757, 0.800, 0.683)
Cl (0.800, 0.757, 0.183)
Cl (0.803, 0.390, 0.875)


Entry 3:
Below is a relaxed LaPr12Tm6 crystal, with properties calculated at the PBE level.

Final energy   -4.2920 eV per atom
Formation enthalpy at 0 K   398 meV per atom
Total magnetization   0.001 μB/cell
Offset from the most stable computed form   274 meV per atom

abc: 9.433 9.433 9.433
angles: 106.97 106.97 106.97
Positions (direct):
La (0.000, 0.000, 0.000)
Pr (0.112, 0.500, 0.888)
Pr (0.112, 0.888, 0.500)
Pr (0.164, 0.386, 0.386)
Pr (0.386, 0.164, 0.386)
Pr (0.386, 0.386, 0.164)
Pr (0.500, 0.112, 0.888)
Pr (0.500, 0.888, 0.112)
Pr (0.614, 0.614, 0.836)
Pr (0.614, 0.836, 0.614)
Pr (0.836, 0.614, 0.614)
Pr (0.888, 0.112, 0.500)
Pr (0.888, 0.500, 0.112)
Tm (0.267, 0.698, 0.698)
Tm (0.302, 0.302, 0.733)
Tm (0.302, 0.733, 0.302)
Tm (0.698, 0.267, 0.698)
Tm (0.698, 0.698, 0.267)
Tm (0.733, 0.302, 0.302)


- What is the total magnetization in the second record?
  8.000 μB/cell